[1]
Compound: KLiThSe3
Source: OQMD
Functional: GGA-PBE
Structure: relaxed

Cell: 7.5055 7.5055 11.1916 Å, 90.00 90.00 146.46°
Positions (direct):
K 0.2544 0.7456 0.2500
K 0.7456 0.2544 0.7500
Se 0.3721 0.6279 0.5596
Se 0.3721 0.6279 0.9404
Li 0.5326 0.4674 0.2500
Th 0.0000 0.0000 0.0000
Se 0.9378 0.0622 0.2500
Se 0.6279 0.3721 0.0596
Se 0.0622 0.9378 0.7500
Se 0.6279 0.3721 0.4404
Li 0.4674 0.5326 0.7500
Th 0.0000 0.0000 0.5000

Results
Final energy ... -60.6 eV/cell
Symmetry ... No. 63

[2]
Compound: Lu4NiSbN2
Source: OQMD
Functional: GGA-PBE
Structure: relaxed

Cell: 3.4374 3.4374 13.8939 Å, 90.00 90.00 120.00°
Positions (direct):
Sb 0.6667 0.3333 0.5000
Lu 0.0000 0.0000 0.3255
Lu 0.6667 0.3333 0.1343
Lu 0.0000 0.0000 0.6745
N 0.3333 0.6667 0.7546
Lu 0.6667 0.3333 0.8657
N 0.3333 0.6667 0.2454
Ni 0.0000 0.0000 0.0000

Results
Final energy ... -53.2 eV/cell
Symmetry ... No. 187

[3]
Compound: PrTaCu
Source: OQMD
Functional: GGA-PBE
Structure: relaxed

Cell: 4.7306 4.7306 4.7306 Å, 60.00 60.00 60.00°
Positions (direct):
Ta 0.7500 0.7500 0.7500
Cu 0.2500 0.2500 0.2500
Pr 0.0000 0.0000 0.0000

Results
Final energy ... -15.7 eV/cell
Symmetry ... No. 216

[4]
Compound: Re7W5
Source: OQMD
Functional: GGA-PBE
Structure: relaxed

Cell: 5.1549 5.1549 16.6780 Å, 90.00 90.00 120.00°
Positions (direct):
W 0.5000 0.0000 0.5000
W 0.5000 0.5000 0.5000
Re 0.0000 0.0000 0.5948
Re 0.6815 0.8407 0.2500
Re 0.1593 0.3185 0.2500
W 0.5000 0.5000 0.0000
W 0.0000 0.5000 0.0000
Re 0.8407 0.1593 0.7500
W 0.6667 0.3333 0.8719
Re 0.6667 0.3333 0.3401
Re 0.3333 0.6667 0.6599
W 0.0000 0.5000 0.5000
Re 0.0000 0.0000 0.0948
Re 0.3333 0.6667 0.8401
W 0.5000 0.0000 0.0000
Re 0.1593 0.8407 0.2500
Re 0.8407 0.6815 0.7500
W 0.3333 0.6667 0.1281
Re 0.6667 0.3333 0.1599
Re 0.0000 0.0000 0.9052
Re 0.3185 0.1593 0.7500
Re 0.0000 0.0000 0.4052
W 0.6667 0.3333 0.6281
W 0.3333 0.6667 0.3719

Results
Distance to the lowest polymorph of the same formula ... 113 meV/atom
Final energy ... -293.3 eV/cell
Symmetry ... No. 194